Be3AsRh: relaxed, PBE-GGA.

## Properties
M_tot (μB/cell): 0.00
DFT formation energy (eV/atom): 0.8491
Offset from the most stable computed form (meV per atom): 379.9

Unit cell a=4.138 b=4.138 c=4.138 alpha=90.00 beta=90.00 gamma=90.00
Sites, in units of the cell vectors:
Be 0.000 0.000 0.500
Be 0.000 0.500 0.000
Be 0.500 0.000 0.000
As 0.000 0.000 0.000
Rh 0.500 0.500 0.500

---

BeAs3Rh: relaxed, PBE-GGA.

## Properties
M_tot (μB/cell): 0.00
DFT formation energy (eV/atom): 0.8856
Offset from the most stable computed form (meV per atom): 313.9

Unit cell a=4.806 b=4.806 c=4.806 alpha=90.00 beta=90.00 gamma=90.00
Sites, in units of the cell vectors:
Be 0.000 0.000 0.000
As 0.000 0.500 0.500
As 0.500 0.000 0.500
As 0.500 0.500 0.000
Rh 0.500 0.500 0.500

---

Be2As2Rh: relaxed, PBE-GGA.

## Properties
M_tot (μB/cell): 0.00
DFT formation energy (eV/atom): 0.2551
Offset from the most stable computed form (meV per atom): 27.5

Unit cell a=6.801 b=6.801 c=6.801 alpha=151.74 beta=151.74 gamma=40.40
Sites, in units of the cell vectors:
Be 0.250 0.750 0.500
Be 0.750 0.250 0.500
As 0.122 0.122 0.000
As 0.878 0.878 0.000
Rh 0.500 0.500 0.000

---

BeAs3Rh: relaxed, PBE-GGA.

## Properties
M_tot (μB/cell): 0.00
DFT formation energy (eV/atom): 0.5716
Offset from the most stable computed form (meV per atom): 0.0

Unit cell a=4.391 b=4.391 c=4.391 alpha=90.00 beta=90.00 gamma=90.00
Sites, in units of the cell vectors:
Be 0.000 0.000 0.000
As 0.000 0.000 0.500
As 0.000 0.500 0.000
As 0.500 0.000 0.000
Rh 0.500 0.500 0.500

---

no.,raw total energy (eV/f.u.)
1,-18.9
2,-20.6
3,-22.8
4,-22.2